Record 1
Computed, not measured: crystalline Ce2NdSi3Pt4 at its relaxed geometry at the PBE level of DFT.

The structure in CIF format:
```
data_Ce2NdSi3Pt4
_chemical_formula_sum 'Ce2 Nd1 Si3 Pt4'
_cell_length_a 4.2665
_cell_length_b 4.2665
_cell_length_c 11.1022
_cell_angle_alpha 90.00
_cell_angle_beta 90.00
_cell_angle_gamma 90.00
_symmetry_space_group_name_H-M 'P -4 m 2'
_symmetry_Int_Tables_number 115
loop_
_symmetry_equiv_pos_as_xyz
'x,y,z'
'y,-x,-z'
'-x,-y,z'
'-y,x,-z'
'-x,y,z'
'-y,-x,-z'
'x,-y,z'
'y,x,-z'
loop_
_atom_site_label
_atom_site_type_symbol
_atom_site_fract_x
_atom_site_fract_y
_atom_site_fract_z
Ce1 Ce 0.0000 0.5000 0.2246
Nd1 Nd 0.0000 0.0000 0.5000
Si1 Si 0.0000 0.5000 0.8854
Si2 Si 0.5000 0.5000 0.5000
Pt1 Pt 0.0000 0.0000 0.0000
Pt2 Pt 0.0000 0.5000 0.6714
Pt3 Pt 0.5000 0.5000 0.0000
```

## Properties
formation energy (no corrections) = -0.964 eV per atom
DFT total energy = -6.670 eV per atom
D(E_F) = 14.456 states/eV/cell

Record 2
Computed, not measured: crystalline CeNd2SmPt2 at its relaxed geometry at the PBE level of DFT.

The structure in CIF format:
```
data_CeNd2SmPt2
_chemical_formula_sum 'Ce4 Nd8 Sm4 Pt8'
_cell_length_a 6.9600
_cell_length_b 14.2945
_cell_length_c 6.8898
_cell_angle_alpha 90.00
_cell_angle_beta 90.00
_cell_angle_gamma 90.00
_symmetry_space_group_name_H-M 'I b a m'
_symmetry_Int_Tables_number 72
_symmetry_space_group_name_Hall '-I 2 2c'
loop_
_atom_site_label
_atom_site_type_symbol
_atom_site_fract_x
_atom_site_fract_y
_atom_site_fract_z
Ce1 Ce 0.0000 0.0000 0.2500
Nd1 Nd 0.2143 0.1918 0.0000
Sm1 Sm 0.0000 0.5000 0.2500
Pt1 Pt 0.2351 0.1118 0.5000
```

## Properties
DFT total energy = -6.095 eV per atom
DFT formation energy = -0.72 eV per atom
D(E_F) = 37.603 states/eV/cell

Record 3
Computed, not measured: crystalline CeNd2Sn3Pt4 at its relaxed geometry at the PBE level of DFT.

The structure in CIF format:
```
data_CeNd2Sn3Pt4
_chemical_formula_sum 'Ce1 Nd2 Sn3 Pt4'
_cell_length_a 4.6394
_cell_length_b 4.6394
_cell_length_c 11.1641
_cell_angle_alpha 90.00
_cell_angle_beta 90.00
_cell_angle_gamma 90.00
_symmetry_space_group_name_H-M 'P -4 m 2'
_symmetry_Int_Tables_number 115
loop_
_symmetry_equiv_pos_as_xyz
'x,y,z'
'y,-x,-z'
'-x,-y,z'
'-y,x,-z'
'-x,y,z'
'-y,-x,-z'
'x,-y,z'
'y,x,-z'
loop_
_atom_site_label
_atom_site_type_symbol
_atom_site_fract_x
_atom_site_fract_y
_atom_site_fract_z
Ce1 Ce 0.0000 0.0000 0.0000
Nd1 Nd 0.0000 0.5000 0.7104
Sn1 Sn 0.0000 0.5000 0.3753
Sn2 Sn 0.5000 0.5000 0.0000
Pt1 Pt 0.0000 0.0000 0.5000
Pt2 Pt 0.0000 0.5000 0.1417
Pt3 Pt 0.5000 0.5000 0.5000
```

## Properties
DFT total energy = -6.029 eV per atom
DFT formation energy = -0.87 eV per atom
D(E_F) = 11.074 states/eV/cell

Record 4
Computed, not measured: crystalline TbCeNd2Pt2 at its relaxed geometry at the PBE level of DFT.

The structure in CIF format:
```
data_TbCeNd2Pt2
_chemical_formula_sum 'Tb4 Ce4 Nd8 Pt8'
_cell_length_a 6.8729
_cell_length_b 14.2895
_cell_length_c 6.8290
_cell_angle_alpha 90.00
_cell_angle_beta 90.00
_cell_angle_gamma 90.00
_symmetry_space_group_name_H-M 'I b a m'
_symmetry_Int_Tables_number 72
_symmetry_space_group_name_Hall '-I 2 2c'
loop_
_atom_site_label
_atom_site_type_symbol
_atom_site_fract_x
_atom_site_fract_y
_atom_site_fract_z
Tb1 Tb 0.0000 0.0000 0.2500
Ce1 Ce 0.0000 0.5000 0.2500
Nd1 Nd 0.2295 0.3093 0.0000
Pt1 Pt 0.2436 0.3883 0.5000
```

## Properties
DFT total energy = -6.110 eV per atom
DFT formation energy = -0.75 eV per atom
D(E_F) = 36.984 states/eV/cell

Record 5
Computed, not measured: crystalline CeNdTePt at its relaxed geometry at the PBE level of DFT.

The structure in CIF format:
```
data_CeNdTePt
_chemical_formula_sum 'Ce3 Nd3 Te3 Pt3'
_cell_length_a 4.2272
_cell_length_b 4.2272
_cell_length_c 22.7711
_cell_angle_alpha 90.00
_cell_angle_beta 90.00
_cell_angle_gamma 120.00
_symmetry_space_group_name_H-M 'R 3 m'
_symmetry_Int_Tables_number 160
_symmetry_space_group_name_Hall 'R 3 -2"'
loop_
_atom_site_label
_atom_site_type_symbol
_atom_site_fract_x
_atom_site_fract_y
_atom_site_fract_z
Ce1 Ce 0.0000 0.0000 0.0000
Nd1 Nd 0.0000 0.0000 0.4766
Te1 Te 0.0000 0.0000 0.2387
Pt1 Pt 0.0000 0.0000 0.7352
```

## Properties
formation energy (no corrections) = -1.215 eV per atom
DFT total energy = -6.186 eV per atom
D(E_F) = 22.259 states/eV/cell

Record 6
Computed, not measured: crystalline CeNdTlPt at its relaxed geometry at the PBE level of DFT.

The structure in CIF format:
```
data_CeNdTlPt
_chemical_formula_sum 'Ce4 Nd4 Tl4 Pt4'
_cell_length_a 7.4940
_cell_length_b 7.4940
_cell_length_c 7.4940
_cell_angle_alpha 90.00
_cell_angle_beta 90.00
_cell_angle_gamma 90.00
_symmetry_space_group_name_H-M 'F -4 3 m'
_symmetry_Int_Tables_number 216
_symmetry_space_group_name_Hall 'F -4 2 3'
loop_
_atom_site_label
_atom_site_type_symbol
_atom_site_fract_x
_atom_site_fract_y
_atom_site_fract_z
Ce1 Ce 0.0000 0.0000 0.0000
Nd1 Nd 0.0000 0.0000 0.5000
Tl1 Tl 0.2500 0.2500 0.2500
Pt1 Pt 0.2500 0.2500 0.7500
```

## Properties
DFT total energy = -5.306 eV per atom
DFT formation energy = -0.53 eV per atom
D(E_F) = 31.969 states/eV/cell

Record 7
Computed, not measured: crystalline CeNd2TmPt2 at its relaxed geometry at the PBE level of DFT.

The structure in CIF format:
```
data_CeNd2TmPt2
_chemical_formula_sum 'Ce4 Nd8 Tm4 Pt8'
_cell_length_a 6.8058
_cell_length_b 14.2656
_cell_length_c 6.7696
_cell_angle_alpha 90.00
_cell_angle_beta 90.00
_cell_angle_gamma 90.00
_symmetry_space_group_name_H-M 'I b a m'
_symmetry_Int_Tables_number 72
_symmetry_space_group_name_Hall '-I 2 2c'
loop_
_atom_site_label
_atom_site_type_symbol
_atom_site_fract_x
_atom_site_fract_y
_atom_site_fract_z
Ce1 Ce 0.0000 0.0000 0.2500
Nd1 Nd 0.2471 0.1896 0.0000
Tm1 Tm 0.0000 0.5000 0.2500
Pt1 Pt 0.2471 0.3885 0.0000
```

## Properties
DFT total energy = -6.114 eV per atom
DFT formation energy = -0.78 eV per atom
D(E_F) = 36.560 states/eV/cell

Record 8
Computed, not measured: crystalline CeNd2YPt2 at its relaxed geometry at the PBE level of DFT.

The structure in CIF format:
```
data_CeNd2YPt2
_chemical_formula_sum 'Ce4 Nd8 Y4 Pt8'
_cell_length_a 6.8781
_cell_length_b 14.2738
_cell_length_c 6.8298
_cell_angle_alpha 90.00
_cell_angle_beta 90.00
_cell_angle_gamma 90.00
_symmetry_space_group_name_H-M 'I b a m'
_symmetry_Int_Tables_number 72
_symmetry_space_group_name_Hall '-I 2 2c'
loop_
_atom_site_label
_atom_site_type_symbol
_atom_site_fract_x
_atom_site_fract_y
_atom_site_fract_z
Ce1 Ce 0.0000 0.0000 0.2500
Nd1 Nd 0.2268 0.1908 0.0000
Y1 Y 0.0000 0.5000 0.2500
Pt1 Pt 0.2420 0.1118 0.5000
```

## Properties
DFT total energy = -6.419 eV per atom
DFT formation energy = -0.75 eV per atom
D(E_F) = 36.092 states/eV/cell

Record 9
Computed, not measured: crystalline CeNd2Pu at its relaxed geometry at the PBE level of DFT.

The structure in CIF format:
```
data_CeNd2Pu
_chemical_formula_sum 'Ce1 Nd2 Pu1'
_cell_length_a 3.5165
_cell_length_b 3.5165
_cell_length_c 10.2250
_cell_angle_alpha 90.00
_cell_angle_beta 90.00
_cell_angle_gamma 90.00
_symmetry_space_group_name_H-M 'P 4/m m m'
_symmetry_Int_Tables_number 123
_symmetry_space_group_name_Hall '-P 4 2'
loop_
_atom_site_label
_atom_site_type_symbol
_atom_site_fract_x
_atom_site_fract_y
_atom_site_fract_z
Ce1 Ce 0.0000 0.0000 0.0000
Nd1 Nd 0.5000 0.5000 0.2485
Pu1 Pu 0.0000 0.0000 0.5000
```

## Properties
energy above the most stable polymorph in this dataset = 12.1 meV per atom
DFT total energy = -7.275 eV per atom
DFT formation energy = 0.18 eV per atom
D(E_F) = 13.388 states/eV/cell

Record 10
Computed, not measured: crystalline Ce2NdPu at its relaxed geometry at the PBE level of DFT.

The structure in CIF format:
```
data_Ce2NdPu
_chemical_formula_sum 'Ce2 Nd1 Pu1'
_cell_length_a 5.8034
_cell_length_b 5.8034
_cell_length_c 3.5143
_cell_angle_alpha 90.00
_cell_angle_beta 90.00
_cell_angle_gamma 90.00
_symmetry_space_group_name_H-M 'P 4/m m m'
_symmetry_Int_Tables_number 123
_symmetry_space_group_name_Hall '-P 4 2'
loop_
_atom_site_label
_atom_site_type_symbol
_atom_site_fract_x
_atom_site_fract_y
_atom_site_fract_z
Ce1 Ce 0.0000 0.5000 0.0000
Nd1 Nd 0.0000 0.0000 0.5000
Pu1 Pu 0.5000 0.5000 0.5000
```

## Properties
energy above the most stable polymorph in this dataset = 100.6 meV per atom
DFT total energy = -7.525 eV per atom
DFT formation energy = 0.22 eV per atom
D(E_F) = 13.072 states/eV/cell

Record 11
Computed, not measured: crystalline Ce3NdPu at its relaxed geometry at the PBE level of DFT.

The structure in CIF format:
```
data_Ce3NdPu
_chemical_formula_sum 'Ce6 Nd2 Pu2'
_cell_length_a 7.0288
_cell_length_b 7.0277
_cell_length_c 5.9101
_cell_angle_alpha 90.00
_cell_angle_beta 90.00
_cell_angle_gamma 90.00
_symmetry_space_group_name_H-M 'P m a 2'
_symmetry_Int_Tables_number 28
loop_
_symmetry_equiv_pos_as_xyz
'x,y,z'
'-x,-y,z'
'-x+1/2,y,z'
'x+1/2,-y,z'
loop_
_atom_site_label
_atom_site_type_symbol
_atom_site_fract_x
_atom_site_fract_y
_atom_site_fract_z
Ce1 Ce 0.0000 0.0000 0.9996
Ce2 Ce 0.0000 0.5000 0.0000
Ce3 Ce 0.2500 0.2490 0.4451
Nd1 Nd 0.2500 0.7492 0.5618
Pu1 Pu 0.2500 0.2500 0.8713
```

## Properties
DFT total energy = -7.270 eV per atom
DFT formation energy = 0.11 eV per atom
D(E_F) = 23.485 states/eV/cell

Record 12
Computed, not measured: crystalline CeNd2Pu at its relaxed geometry at the PBE level of DFT.

The structure in CIF format:
```
data_CeNd2Pu
_chemical_formula_sum 'Ce3 Nd6 Pu3'
_cell_length_a 3.4792
_cell_length_b 3.4792
_cell_length_c 36.9457
_cell_angle_alpha 90.00
_cell_angle_beta 90.00
_cell_angle_gamma 120.00
_symmetry_space_group_name_H-M 'R -3 m'
_symmetry_Int_Tables_number 166
_symmetry_space_group_name_Hall '-R 3 2"'
loop_
_atom_site_label
_atom_site_type_symbol
_atom_site_fract_x
_atom_site_fract_y
_atom_site_fract_z
Ce1 Ce 0.0000 0.0000 0.0000
Nd1 Nd 0.0000 0.0000 0.4105
Pu1 Pu 0.0000 0.0000 0.5000
```

## Properties
energy above the most stable polymorph in this dataset = 121.7 meV per atom
DFT total energy = -7.166 eV per atom
DFT formation energy = 0.28 eV per atom
D(E_F) = 37.695 states/eV/cell